# SrCdSO

SrCdSO after structural relaxation (PBE, OQMD via LeMat-Bulk).

total energy	-4.43	eV per atom
calculated density	4.84	Mg/m³

Cell lengths 6.7538, 6.9535, 7.2448 Å; angles 90.00, 90.00, 90.00 degrees
With the nearest neighbours (Å) after each atom.
Space group P2_12_12_1 (No. 19)
Inequivalent atoms, fractional coordinates:
Sr1 0.2125 0.0815 0.4392 x4  2 O 2.36-2.38
Cd1 0.2325 0.4423 0.8551 x4  2 O 2.23-2.46
S1 0.0722 0.7108 0.6293 x4  3 Cd 2.61-2.71
O1 0.1257 0.6675 0.0977 x4  2 Cd 2.23-2.46, 2 Sr 2.36-2.38